Entry 1:
ErThRe4 | PBE | relaxed

The theoretical density is 16496 kg/m3. The energy of formation from the pure elements is -0.170 eV/atom. Its polymorph energy (0 for the lowest one) is 0 meV per atom. Its total magnetization is 0.00 μB per atom. The energy is -10.47 eV/atom.

abc: 5.4011 5.4011 9.1179
angles: 90.00 90.00 120.00
Fractional coordinates of all 12 atoms:
1 Er 0.6667 0.3333 0.4371
2 Er 0.3333 0.6667 0.5629
3 Th 0.3333 0.6667 0.9403
4 Th 0.6667 0.3333 0.0597
5 Re 0.0000 0.0000 0.5000
6 Re 0.0000 0.0000 0.0000
7 Re 0.6591 0.8295 0.2599
8 Re 0.1705 0.8295 0.2599
9 Re 0.1705 0.3409 0.2599
10 Re 0.3409 0.1705 0.7401
11 Re 0.8295 0.1705 0.7401
12 Re 0.8295 0.6591 0.7401


Entry 2:
Ce2TmTl | PBE | relaxed

The theoretical density is 9935 kg/m3. The energy of formation from the pure elements is -0.139 eV/atom. Its polymorph energy (0 for the lowest one) is 4 meV per atom. Its total magnetization is 0.41 μB per atom. The energy is -4.82 eV/atom.

abc: 5.2285 4.5708 4.5708
angles: 90.00 90.00 90.00
Fractional coordinates of all 4 atoms:
1 Tl 0.5000 0.0000 0.0000
2 Tm 0.5000 0.5000 0.5000
3 Ce 0.0000 0.0000 0.5000
4 Ce 0.0000 0.5000 0.0000


Entry 3:
SrAcMgAl | PBE | relaxed

The theoretical density is 4604 kg/m3. The energy of formation from the pure elements is -0.119 eV/atom. Its total magnetization is 0.00 μB per atom. The energy is -2.90 eV/atom.

abc: 5.7148 5.7148 5.7148
angles: 60.00 60.00 60.00
Fractional coordinates of all 4 atoms:
1 Mg 0.0000 0.0000 0.0000
2 Sr 0.2500 0.2500 0.2500
3 Ac 0.7500 0.7500 0.7500
4 Al 0.5000 0.5000 0.5000


Entry 4:
EuGdTl | PBE | relaxed

The theoretical density is 8644 kg/m3. The energy of formation from the pure elements is -0.205 eV/atom. Its polymorph energy (0 for the lowest one) is 0 meV per atom. Its total magnetization is 0.10 μB per atom. The energy is -9.11 eV/atom.

abc: 3.7478 3.7478 7.5074
angles: 104.45 104.45 90.00
Fractional coordinates of all 3 atoms:
1 Eu 0.6007 0.6007 0.2014
2 Tl 0.9434 0.9434 0.8868
3 Gd 0.3059 0.3059 0.6119


Entry 5:
MgNbCu2N | PBE | relaxed

As for the formation energy (no corrections): 0.658 eV/atom. The theoretical density is 4462 kg/m3. Its total magnetization is 0.00 μB per atom. The energy is -4.98 eV/atom.

abc: 4.9321 3.9516 4.9321
angles: 90.00 90.00 90.00
Fractional coordinates of all 5 atoms:
1 Nb 0.0000 0.0000 0.0000
2 Mg 0.5000 0.5000 0.5000
3 Cu 0.0000 0.0000 0.5000
4 Cu 0.5000 0.0000 0.0000
5 N 0.0000 0.5000 0.0000


Entry 6:
Ba2HgSe3 | PBE | relaxed

As for the formation energy (no corrections): -1.441 eV/atom. The theoretical density is 6041 kg/m3. Its total magnetization is 0.00 μB per atom. The energy is -3.87 eV/atom.

abc: 4.5678 9.4142 18.2071
angles: 90.00 90.00 90.00
Fractional coordinates of all 24 atoms:
1 Ba 0.2500 0.2552 0.9631
2 Ba 0.7500 0.7448 0.0369
3 Ba 0.7500 0.2448 0.4631
4 Ba 0.2500 0.7552 0.5369
5 Ba 0.7500 0.0760 0.7157
6 Ba 0.2500 0.9240 0.2843
7 Ba 0.2500 0.4240 0.2157
8 Ba 0.7500 0.5760 0.7843
9 Hg 0.2500 0.3727 0.6351
10 Hg 0.7500 0.6273 0.3649
11 Hg 0.7500 0.1273 0.1351
12 Hg 0.2500 0.8727 0.8649
13 Se 0.2500 0.3107 0.7799
14 Se 0.7500 0.6893 0.2201
15 Se 0.7500 0.1893 0.2799
16 Se 0.2500 0.8107 0.7201
17 Se 0.7500 0.0154 0.9040
18 Se 0.2500 0.9846 0.0960
19 Se 0.2500 0.4846 0.4040
20 Se 0.7500 0.5154 0.5960
21 Se 0.2500 0.1140 0.5714
22 Se 0.7500 0.8860 0.4286
23 Se 0.7500 0.3860 0.0714
24 Se 0.2500 0.6140 0.9286


Entry 7:
MgRhAu2 | PBE | relaxed

The theoretical density is 12940 kg/m3. The energy of formation from the pure elements is -0.305 eV/atom. Its total magnetization is 0.00 μB per atom. The energy is -4.18 eV/atom.

abc: 4.9366 4.9366 4.9366
angles: 131.09 131.07 71.69
Fractional coordinates of all 4 atoms:
1 Rh 0.2501 0.7501 0.5000
2 Mg 0.4999 0.4999 0.0000
3 Au 0.0000 0.0000 0.0000
4 Au 0.7499 0.2499 0.5000


Entry 8:
AuSeBr2 | PBE | relaxed

As for the formation energy (no corrections): 0.286 eV/atom. The theoretical density is 6174 kg/m3. Its polymorph energy (0 for the lowest one) is 331 meV per atom. Its total magnetization is 0.00 μB per atom. The energy is -2.24 eV/atom.

abc: 8.2840 8.2840 8.2840
angles: 152.97 152.97 38.59
Fractional coordinates of all 4 atoms:
1 Au 0.7500 0.2500 0.5000
2 Br 0.0000 0.0000 0.0000
3 Br 0.2500 0.7500 0.5000
4 Se 0.5000 0.5000 0.0000


> Which value of theoretical density does entry 4 give?

8644 kg/m3


> Which of these has the lowest energy?

ErThRe4


> The lowest energy belongs to which entry?

ErThRe4